Record 1
Li4O: optimized geometry, PBE.

Unit cell a=4.0802 b=4.0802 c=4.0802 alpha=90.00 beta=90.00 gamma=90.00
Sites, in units of the cell vectors:
Li 0.0000 0.0000 0.0000
Li 0.0000 0.5000 0.5000
Li 0.5000 0.0000 0.5000
Li 0.5000 0.5000 0.0000
O 0.5000 0.5000 0.5000

Values from the calculation:
**Energy relative to the elements, uncorrected**: -820 meV/atom
**Total magnetic moment**: 0.00 μB per formula unit

=====

Record 2
LiO8: optimized geometry, PBE.

Unit cell a=5.0367 b=5.1548 c=5.1626 alpha=118.40 beta=108.52 gamma=100.09
Sites, in units of the cell vectors:
Li 0.0000 0.0000 0.0000
O 0.0688 0.4457 0.4362
O 0.0747 0.0195 0.4416
O 0.4126 0.9002 0.0823
O 0.4184 0.3292 0.0922
O 0.5293 0.8359 0.8891
O 0.5366 0.2578 0.9033
O 0.9333 0.4970 0.6099
O 0.9336 0.0842 0.6105

Values from the calculation:
**Energy relative to the elements, uncorrected**: -266 meV/atom
**Total magnetic moment**: 0.00 μB per formula unit
**E above lowest polymorph**: 6 meV/atom